# MgTcNi2

MgTcNi2 after structural relaxation (GGA-PBE, Alexandria).

Output
* space-group type: Cm, No. 8
* formation energy from the elements: 15 meV/atom

abc: 4.779 4.779 4.537
angles: 74.94 74.94 31.97
Fractional coordinates of all 4 atoms:
Ni  0.020  0.020  0.038
Tc  0.481  0.481  0.562
Mg  0.263  0.263  0.195
Ni  0.736  0.736  0.704

---

# MgTcNi2

MgTcNi2 after structural relaxation (GGA-PBE, Alexandria).

Output
* space-group type: Imm2, No. 44
* formation energy from the elements: 83 meV/atom

abc: 5.260 5.260 5.260
angles: 150.51 130.98 58.25
Last column: magnetic moment on the atom in μB.
Fractional coordinates of all 4 atoms:
Mg  0.242  0.742  0.500  0.00
Ni  0.977  0.977  0.000  0.06
Ni  0.755  0.255  0.500  0.04
Tc  0.526  0.526  0.000  0.11

---

# Mg4TcNi

Mg4TcNi after structural relaxation (GGA-PBE, Alexandria).

Output
* space-group type: F-43m, No. 216
* formation energy from the elements: 639 meV/atom

abc: 5.340 5.340 5.340
angles: 60.00 60.00 60.00
Last column: magnetic moment on the atom in μB.
Fractional coordinates of all 6 atoms:
Ni  0.750  0.750  0.750  0.47
Tc  0.000  0.000  0.000  1.46
Mg  0.375  0.876  0.375  -0.01
Mg  0.375  0.375  0.375  -0.01
Mg  0.876  0.375  0.375  -0.01
Mg  0.375  0.375  0.876  -0.01

---

# MgTcNi6

MgTcNi6 after structural relaxation (GGA-PBE, Alexandria).

Output
* space-group type: Cmmm, No. 65
* formation energy from the elements: -43 meV/atom

abc: 6.277 6.277 10.250
angles: 90.00 90.00 109.34
Last column: magnetic moment on the atom in μB.
Fractional coordinates of all 32 atoms:
Ni  0.632  0.879  0.879  0.02
Ni  0.632  0.879  0.621  0.02
Ni  0.879  0.632  0.879  0.02
Ni  0.629  0.883  0.372  0.04
Ni  0.883  0.629  0.372  0.04
Ni  0.368  0.121  0.621  0.02
Ni  0.121  0.368  0.879  0.02
Ni  0.368  0.121  0.879  0.02
Tc  0.254  0.746  0.250  0.20
Tc  0.000  0.000  0.993  0.13
Tc  0.746  0.254  0.250  0.20
Ni  0.754  0.246  0.493  0.03
Mg  0.748  0.252  0.750  0.00
Ni  0.246  0.754  0.493  0.03
Ni  0.500  0.500  0.250  0.07
Ni  0.117  0.371  0.372  0.04
Mg  0.252  0.748  0.750  0.00
Ni  0.500  0.500  0.750  0.00
Mg  0.500  0.500  0.500  0.00
Ni  0.754  0.246  0.007  0.03
Ni  0.117  0.371  0.128  0.04
Ni  0.371  0.117  0.372  0.04
Tc  0.000  0.000  0.507  0.13
Ni  0.629  0.883  0.128  0.04
Ni  0.000  0.000  0.750  0.01
Ni  0.121  0.368  0.621  0.02
Ni  0.883  0.629  0.128  0.04
Ni  0.000  0.000  0.250  0.07
Ni  0.246  0.754  0.007  0.03
Ni  0.879  0.632  0.621  0.02
Mg  0.500  0.500  0.000  0.00
Ni  0.371  0.117  0.128  0.04

---

What did we get for calculated volume? Answer: 52.8 53.7 107.7 381.1 Å³ per cell, in the order shown.
What did we get for density? Answer: 7.5 7.4 3.9 8.3 g/cm3, in the order shown.
What did we get for N(E_F)? Answer: 1.08 1.30 1.31 1.03 states/eV/atom, in the order shown.